VASP calculation (meta-GGA SCAN) on a PBEsol-optimized structure of As2PtSeN.

abc: 4.1447 4.2936 4.2936
angles: 90.00 90.00 90.00
Last column: nearest neighbours and their distance in Å.
Atoms (fractional coordinates):
As 0.0000 0.5000 0.0000  2 N 2.15
As 0.0000 0.0000 0.5000  2 N 2.15
Pt 0.5000 0.5000 0.5000  8 As 2.98, 4 Se 3.04
N 0.0000 0.0000 0.0000  2 Se 2.07, 4 As 2.15
Se 0.5000 0.0000 0.0000  2 N 2.07

Summary:
* E_tot: -135.7 eV per cell